Compound: CaMo2O4
Source: the Alexandria database
Functional: PBE with a Hubbard U
Structure: relaxed

Cell lengths 6.713, 6.713, 6.713 Å; angles 58.56, 58.56, 58.56 degrees
Fractional positions:
Ca: 0.000 0.000 0.000
Ca: 0.368 0.368 0.368
Mo: 0.374 0.374 0.875
Mo: 0.374 0.875 0.374
Mo: 0.791 0.791 0.791
Mo: 0.875 0.374 0.374
O: 0.122 0.122 0.583
O: 0.122 0.583 0.122
O: 0.139 0.139 0.139
O: 0.149 0.620 0.620
O: 0.583 0.122 0.122
O: 0.601 0.601 0.601
O: 0.620 0.149 0.620
O: 0.620 0.620 0.149

Computed properties:
total energy: -99.0 eV per cell
space group: No. 160